The following is a GGA-PBE calculation of a relaxed Li2FeRh crystal, from the Alexandria database.

Structure (CIF):
```
data_Li2FeRh
_cell_length_a 3.073
_cell_length_b 3.073
_cell_length_c 5.945
_cell_angle_alpha 90.00
_cell_angle_beta 90.00
_cell_angle_gamma 90.00
_space_group_name_H-M_alt 'P 1'
_space_group_IT_number 1
loop_
_space_group_symop_operation_xyz
'x,y,z'
loop_
_atom_site_label
_atom_site_type_symbol
_atom_site_fract_x
_atom_site_fract_y
_atom_site_fract_z
Fe1 Fe 0.500 0.500 0.728
Li1 Li 0.000 0.000 0.992
Li2 Li 0.500 0.500 0.263
Rh1 Rh 0.000 0.000 0.518
```

Size of the total moment = 3.5 Bohr magnetons per cell
ΔE_f = 0.188 eV/f.u.